# 1
Here is crystalline InSbBr2 at its relaxed geometry from Alexandria. Energies are from GGA-PBEsol.

a b c (Å): 3.418 4.493 6.789
angles (deg): 90.00 90.00 90.00
Element x y z (fractional)
Sb: 0.500 0.500 0.500
Br: 0.000 0.000 0.743
Br: 0.000 0.000 0.257
In: 0.500 0.500 0.000

Values from the calculation:
E_form (uncorrected), eV per atom: -0.0855


# 2
Here is crystalline GaMo2P at its relaxed geometry from Alexandria. Energies are from GGA-PBEsol.

a b c (Å): 4.283 4.283 4.283
angles (deg): 60.00 60.00 60.00
Element x y z (fractional)
Mo: 0.750 0.750 0.750
Mo: 0.250 0.250 0.250
Ga: 0.500 0.500 0.500
P: 0.000 0.000 0.000

Values from the calculation:
ΔH_f (0 K), kcal/mol of atoms: -1.45


# 3
Here is crystalline Tc2PbW at its relaxed geometry from Alexandria. Energies are from GGA-PBEsol.

a b c (Å): 4.523 4.523 4.523
angles (deg): 60.00 60.00 60.00
Element x y z (fractional)
Tc: 0.250 0.250 0.250
Tc: 0.000 0.000 0.000
Pb: 0.500 0.500 0.500
W: 0.750 0.750 0.750

Values from the calculation:
ΔH_f (0 K), kcal/mol of atoms: 19.11


# 4
Here is crystalline KMg2ZrAs at its relaxed geometry from Alexandria. Energies are from GGA-PBEsol.

a b c (Å): 5.140 5.717 5.717
angles (deg): 90.00 90.00 90.00
Element x y z (fractional)
Zr: 0.000 0.000 0.000
K: 0.500 0.500 0.500
Mg: 0.000 0.000 0.500
Mg: 0.000 0.500 0.000
As: 0.500 0.000 0.000

Values from the calculation:
ΔH_f (0 K), kcal/mol of atoms: 5.82


Fermi-level density of states per entry: 2.29 4.61 5.44 4.07 states/eV/f.u.
Electronic total energy per entry: -2.905 -8.230 -9.256 -3.500 eV per atom